(1)
Here is a relaxed structure of As2PbAu from Alexandria via LeMat-Bulk. Energies are from PBE.

Cell: 6.129 6.129 7.548 Å, 66.05 66.05 90.00°
Sites, in units of the cell vectors:
Au (0.500, 0.500, 0.000)
Au (0.250, 0.750, 0.500)
As (0.163, 0.625, 0.250)
As (0.375, 0.413, 0.750)
As (0.587, 0.125, 0.250)
As (0.875, 0.837, 0.750)
Pb (0.000, 0.000, 0.000)
Pb (0.750, 0.250, 0.500)

Results
The calculation puts the formation energy at 95 meV per atom. Its space group is I-42d (122). For the calculated total energy, the calculation gives -3.976 eV/atom. For the magnetization, the calculation gives 0.00 μB/f.u.


(2)
Here is a relaxed structure of SiBrN3 from Alexandria via LeMat-Bulk. Energies are from PBE.

Cell: 3.676 3.676 3.676 Å, 90.00 90.00 90.00°
Sites, in units of the cell vectors:
Br (0.500, 0.500, 0.500)
Si (0.000, 0.000, 0.000)
N (0.500, 0.000, 0.000)
N (0.000, 0.000, 0.500)
N (0.000, 0.500, 0.000)

Results
Its space group is Pm-3m (221). For the calculated total energy, the calculation gives -5.054 eV/atom. For the magnetization, the calculation gives 0.00 μB/f.u.


(3)
Here is a relaxed structure of Mg2AgAs from Alexandria via LeMat-Bulk. Energies are from PBE.

Cell: 3.548 4.000 5.642 Å, 90.00 90.00 90.00°
Sites, in units of the cell vectors:
Mg (0.000, 0.000, 0.963)
Mg (0.500, 0.500, 0.288)
Ag (0.000, 0.000, 0.461)
As (0.500, 0.500, 0.788)

Results
The calculation puts the formation energy at -197 meV per atom. Its space group is Pmm2 (25). For the calculated total energy, the calculation gives -2.869 eV/atom. For the magnetization, the calculation gives 0.00 μB/f.u.


(4)
Here is a relaxed structure of CsCaMg6 from Alexandria via LeMat-Bulk. Energies are from PBE.

Cell: 8.286 8.286 4.723 Å, 90.00 90.00 123.77°
Sites, in units of the cell vectors:
Mg (0.266, 0.354, 0.000)
Mg (0.646, 0.734, 0.000)
Mg (0.683, 0.317, 0.000)
Mg (0.382, 0.217, 0.500)
Mg (0.071, 0.929, 0.000)
Mg (0.783, 0.618, 0.500)
Ca (0.889, 0.111, 0.500)
Cs (0.281, 0.719, 0.500)

Results
The calculation puts the formation energy at 198 meV per atom. Its space group is Amm2 (38). Its distance to the lowest polymorph of the same formula is 0.000 eV/f.u. For the calculated total energy, the calculation gives -1.355 eV/atom. For the magnetization, the calculation gives 0.00 μB/f.u.


(5)
Here is a relaxed structure of La2PmAg from Alexandria via LeMat-Bulk. Energies are from PBE.

Cell: 3.765 3.765 10.936 Å, 80.09 80.09 60.00°
Sites, in units of the cell vectors:
Pm (0.499, 0.499, 0.502)
Ag (0.667, 0.667, 0.998)
La (0.074, 0.074, 0.777)
La (0.259, 0.259, 0.223)

Results
The calculation puts the formation energy at 2 meV per atom. Its space group is R3m (160). Its distance to the lowest polymorph of the same formula is 0.434 eV/f.u. For the calculated total energy, the calculation gives -4.362 eV/atom. For the magnetization, the calculation gives 0.00 μB/f.u.


(6)
Here is a relaxed structure of ZrNiBCl2 from Alexandria via LeMat-Bulk. Energies are from PBE.

Cell: 4.649 3.856 4.649 Å, 90.00 90.00 90.00°
Site moments in Bohr magnetons follow the coordinates.
Sites, in units of the cell vectors:
Ni (0.000, 0.500, 0.000)  -0.09
Cl (0.500, 0.000, 0.000)  0.00
Cl (0.000, 0.000, 0.500)  0.00
Zr (0.500, 0.500, 0.500)  0.78
B (0.000, 0.000, 0.000)  0.01

Results
Its space group is P4/mmm (123). Its distance to the lowest polymorph of the same formula is 0.000 eV/f.u. For the calculated total energy, the calculation gives -4.367 eV/atom. For the magnetization, the calculation gives 1.08 μB/f.u.


(7)
Here is a relaxed structure of Al3HgN from Alexandria via LeMat-Bulk. Energies are from PBE.

Cell: 4.891 4.891 4.891 Å, 90.00 90.00 90.00°
Sites, in units of the cell vectors:
Al (0.000, 0.000, 0.500)
Al (0.500, 0.000, 0.000)
Al (0.000, 0.500, 0.000)
N (0.500, 0.500, 0.500)
Hg (0.000, 0.000, 0.000)

Results
Its space group is Pm-3m (221). For the calculated total energy, the calculation gives -2.360 eV/atom. For the magnetization, the calculation gives 0.00 μB/f.u.


(8)
Here is a relaxed structure of Sm4ZrHg5 from Alexandria via LeMat-Bulk. Energies are from PBE.

Cell: 3.730 3.730 18.776 Å, 90.00 90.00 90.00°
Site moments in Bohr magnetons follow the coordinates.
Sites, in units of the cell vectors:
Hg (0.500, 0.500, 0.500)  0.01
Hg (0.500, 0.500, 0.086)  0.01
Hg (0.500, 0.500, 0.707)  0.02
Hg (0.500, 0.500, 0.914)  0.01
Hg (0.500, 0.500, 0.293)  0.02
Sm (0.000, 0.000, 0.604)  0.17
Sm (0.000, 0.000, 0.811)  0.13
Sm (0.000, 0.000, 0.396)  0.17
Sm (0.000, 0.000, 0.189)  0.13
Zr (0.000, 0.000, 0.000)  0.11

Results
The calculation puts the formation energy at -384 meV per atom. Its space group is P4/mmm (123). For the calculated total energy, the calculation gives -3.277 eV/atom. For the magnetization, the calculation gives 1.41 μB/f.u.


What did the fourth record say?
Here is a relaxed structure of CsCaMg6 from Alexandria via LeMat-Bulk. Energies are from PBE.

Cell: 8.286 8.286 4.723 Å, 90.00 90.00 123.77°
Sites, in units of the cell vectors:
Mg (0.266, 0.354, 0.000)
Mg (0.646, 0.734, 0.000)
Mg (0.683, 0.317, 0.000)
Mg (0.382, 0.217, 0.500)
Mg (0.071, 0.929, 0.000)
Mg (0.783, 0.618, 0.500)
Ca (0.889, 0.111, 0.500)
Cs (0.281, 0.719, 0.500)

Results
The calculation puts the formation energy at 198 meV per atom. Its space group is Amm2 (38). Its distance to the lowest polymorph of the same formula is 0.000 eV/f.u. For the calculated total energy, the calculation gives -1.355 eV/atom. For the magnetization, the calculation gives 0.00 μB/f.u.


Number 3 is which compound? Mg2AgAs


The lowest calculated total energy belongs to which entry? SiBrN3


magnetization of number 8 (Sm4ZrHg5)? 1.41 μB/f.u.